# Te6Au2F, optimized geometry, DFT PBE
# E_form (uncorrected), eV per atom: -0.207
# Energy, eV per atom: -3.237
data_Te6Au2F
_space_group_name_H-M_alt 'C 1 2/c 1'
_space_group_IT_number 15
_cell_length_a 15.820
_cell_length_b 8.722
_cell_length_c 7.890
_cell_angle_alpha 90.00
_cell_angle_beta 91.35
_cell_angle_gamma 90.00
loop_
_space_group_symop_operation_xyz
'x,y,z'
'-x,-y,-z'
'-x,y,-z+1/2'
'x,-y,z+1/2'
'x+1/2,y+1/2,z'
'-x+1/2,-y+1/2,-z'
'-x+1/2,y+1/2,-z+1/2'
'x+1/2,-y+1/2,z+1/2'
loop_
_atom_site_label
_atom_site_fract_x
_atom_site_fract_y
_atom_site_fract_z
_atom_site_occupancy
Te1 0.064 0.115 0.042 1
Te2 0.092 0.366 0.534 1
Te3 0.187 0.380 0.230 1
Au1 0.142 0.117 0.738 1
F1 0.000 0.407 0.750 1